GGA-PBEsol In2FeP, relaxed; DFT formation energy = 0.053 eV/atom; symmetry = Imm2 (44)
1.0
-0.625 0.763 -2.683
-2.235 -3.775 -0.552
-3.295 4.037 3.439
Fe In P
1 2 1
Cartesian
-3.261 -0.739 0.550
-5.623 0.740 -0.002
-2.670 1.644 -0.433
-2.188 -1.100 -1.326